# 1
A geometry-optimized BaMn structure, computed with PBE-GGA.

Properties
The value obtained for the density is 4.428 g/cm3. The value obtained for the energy of formation from the pure elements is 517 meV/atom. The final energy is -5.03 eV per atom.

abc: 11.8127 11.8127 4.1336
angles: 90.00 90.00 90.00
Closest atoms and distances in Å follow each position.
Space group P4/m (No. 83)
Symmetry-distinct sites (fractional):
Ba 0.0293 0.2324 0.0000 [4 per cell]  4 Mn 3.16-3.48
Ba 0.3026 0.6553 0.5000 [4 per cell]  4 Mn 3.51-3.83
Mn 0.0684 0.4307 0.5000 [4 per cell]  3 Mn 2.30-2.35
Mn 0.1061 0.5169 0.0000 [4 per cell]  3 Mn 2.35-2.54

***

# 2
A geometry-optimized CaPr3Cu8 structure, computed with PBE-GGA.

Properties
The value obtained for the density is 7.328 g/cm3. The value obtained for the energy of formation from the pure elements is -75 meV/atom. The final energy is -4.17 eV per atom.

abc: 5.3791 5.3791 26.3460
angles: 90.00 90.00 120.00
Closest atoms and distances in Å follow each position.
Space group R3m (No. 160, hexagonal axes)
Symmetry-distinct sites (fractional):
Ca 0.0000 0.0000 0.0000 [3 per cell]  12 Cu 3.08-3.18, 4 Pr 3.25-3.26
Pr 0.0000 0.0000 0.3692 [3 per cell]  12 Cu 3.08-3.19, 3 Ca 3.25, 1 Pr 3.26
Pr 0.0000 0.0000 0.4929 [3 per cell]  12 Cu 3.10-3.25, 4 Pr 3.26-3.37
Pr 0.0000 0.0000 0.8762 [3 per cell]  12 Cu 3.11-3.25, 1 Ca 3.26, 3 Pr 3.37
Cu 0.0000 0.0000 0.1849 [3 per cell]  6 Cu 2.70-2.72
Cu 0.0000 0.0000 0.6841 [3 per cell]  6 Cu 2.64-2.69
Cu 0.0006 0.5003 0.4344 [9 per cell]  6 Cu 2.68-2.70
Cu 0.1704 0.3407 0.2688 [9 per cell]  6 Cu 2.63-2.75

***

# 3
A geometry-optimized TaIrNF2 structure, computed with PBE-GGA.

Properties
For the offset from the most stable computed form, the calculation gives 0 kJ/mol of formula units. For the raw formation energy, the calculation gives -307 meV/atom. The value obtained for the density is 10.473 g/cm3. The final energy is -6.86 eV per atom.

abc: 4.0577 4.0577 4.0944
angles: 90.00 90.00 90.00
Closest atoms and distances in Å follow each position.
Space group P4/mmm (No. 123)
Symmetry-distinct sites (fractional):
Ta 0.0000 0.0000 0.0000 [1 per cell]  4 F 2.03, 2 N 2.05
Ir 0.5000 0.5000 0.5000 [1 per cell]  4 N 2.87, 8 F 2.88
N 0.0000 0.0000 0.5000 [1 per cell]  2 Ta 2.05
F 0.0000 0.5000 0.0000 [2 per cell]  2 Ta 2.03

***

Repeat the first record exactly.
A geometry-optimized BaMn structure, computed with PBE-GGA.

Properties
The value obtained for the density is 4.428 g/cm3. The value obtained for the energy of formation from the pure elements is 517 meV/atom. The final energy is -5.03 eV per atom.

abc: 11.8127 11.8127 4.1336
angles: 90.00 90.00 90.00
Closest atoms and distances in Å follow each position.
Space group P4/m (No. 83)
Symmetry-distinct sites (fractional):
Ba 0.0293 0.2324 0.0000 [4 per cell]  4 Mn 3.16-3.48
Ba 0.3026 0.6553 0.5000 [4 per cell]  4 Mn 3.51-3.83
Mn 0.0684 0.4307 0.5000 [4 per cell]  3 Mn 2.30-2.35
Mn 0.1061 0.5169 0.0000 [4 per cell]  3 Mn 2.35-2.54

***

Q: Look up the final energy of the third one.
A: -6.86 eV per atom